Record 1
Sc6Te2Ru | SCAN | PBEsol geometry

Unit cell a=7.6574 b=7.6574 c=3.7642 alpha=90.00 beta=90.00 gamma=120.00
Space group P-62m (No. 189)
Asymmetric unit:
Sc 0.0000 0.3892 0.0000 x3
Sc 0.0000 0.7602 0.5000 x3
Te 0.3333 0.6667 0.5000 x2
Ru 0.0000 0.0000 0.0000 x1

Output
Final energy, eV/atom: -22.439
E_form (uncorrected), kJ/mol of formula units: -695

Record 2
NiBrCl2 | SCAN | PBEsol geometry

Unit cell a=2.959 b=2.959 c=9.578 alpha=90.00 beta=90.00 gamma=90.00
Space group P4/mmm (No. 123)
Asymmetric unit:
Ni 0.000 0.000 0.000 x1
Br 0.000 0.000 0.500 x1
Cl 0.500 0.500 0.152 x2

Output
Final energy, eV/atom: -12.942
E_form (uncorrected), kJ/mol of formula units: -17

Record 3
ZrAl2In2 | SCAN | PBEsol geometry

Unit cell a=3.832 b=3.832 c=14.583 alpha=90.00 beta=90.00 gamma=90.00
Space group I4/mmm (No. 139)
Asymmetric unit:
Zr 0.000 0.000 0.000 x2
Al 0.000 0.500 0.250 x4
In 0.000 0.000 0.399 x4

Output
Final energy, eV/atom: -22.476

| no. | D(E_F) (states/eV/atom) |
| --- | --- |
| 1 | 0.985 |
| 2 | 0.488 |
| 3 | 0.779 |